[1]
First-principles (GGA-PBE) data for a relaxed Li2ScAuN crystal, as listed in Alexandria via LeMat-Bulk.

Computed properties:
size of the total moment = 0.0 μB/cell
theoretical density = 6.13 g/cm3
E = -5.100 eV per atom
DOS(E_F) = 0.625 states/eV/atom
formation energy without anion corrections = -0.747 eV per atom

Structure (CIF):
```
data_Li2ScAuN
_chemical_formula_sum 'Li2 Sc1 Au1 N1'
_space_group_name_H-M_alt 'P 1'
_space_group_IT_number 1
_space_group_name_Hall 'P 1'
_cell_length_a 4.145
_cell_length_b 4.145
_cell_length_c 4.254
_cell_angle_alpha 90.00
_cell_angle_beta 90.00
_cell_angle_gamma 90.00
loop_
_atom_site_label
_atom_site_type_symbol
_atom_site_fract_x
_atom_site_fract_y
_atom_site_fract_z
_atom_site_occupancy
Sc1 Sc 0.000 0.000 0.500 1
Li1 Li 0.000 0.500 0.000 1
Li2 Li 0.500 0.000 0.000 1
Au1 Au 0.500 0.500 0.500 1
N1 N 0.000 0.000 0.000 1
```

[2]
First-principles (GGA-PBE) data for a relaxed Sr2Ge3Pt4Pb crystal, as listed in Alexandria via LeMat-Bulk.

Computed properties:
size of the total moment = 0.0 μB/cell
theoretical density = 10.63 g/cm3
E = -5.217 eV per atom
DOS(E_F) = 0.453 states/eV/atom
DFT formation energy = -16.332 kcal/mol of atoms

Structure (CIF):
```
data_Sr2Ge3Pt4Pb
_chemical_formula_sum 'Sr2 Ge3 Pt4 Pb1'
_space_group_name_H-M_alt 'P 1'
_space_group_IT_number 1
_space_group_name_Hall 'P 1'
_cell_length_a 4.531
_cell_length_b 4.531
_cell_length_c 10.502
_cell_angle_alpha 90.00
_cell_angle_beta 90.00
_cell_angle_gamma 90.00
loop_
_atom_site_label
_atom_site_type_symbol
_atom_site_fract_x
_atom_site_fract_y
_atom_site_fract_z
_atom_site_occupancy
Sr1 Sr 0.500 0.000 0.241 1
Sr2 Sr 0.000 0.500 0.759 1
Ge1 Ge 0.000 0.000 0.500 1
Ge2 Ge 0.500 0.000 0.885 1
Ge3 Ge 0.000 0.500 0.115 1
Pt1 Pt 0.500 0.500 0.000 1
Pt2 Pt 0.000 0.000 0.000 1
Pt3 Pt 0.500 0.000 0.650 1
Pt4 Pt 0.000 0.500 0.350 1
Pb1 Pb 0.500 0.500 0.500 1
```

[3]
First-principles (GGA-PBE) data for a relaxed Y2MgIn crystal, as listed in Alexandria via LeMat-Bulk.

Computed properties:
size of the total moment = 0.0 μB/cell
theoretical density = 4.77 g/cm3
E = -4.511 eV per atom
DOS(E_F) = 0.867 states/eV/atom
DFT formation energy = -4.521 kcal/mol of atoms

Structure (CIF):
```
data_Y2MgIn
_chemical_formula_sum 'Y2 Mg1 In1'
_space_group_name_H-M_alt 'P 1'
_space_group_IT_number 1
_space_group_name_Hall 'P 1'
_cell_length_a 3.501
_cell_length_b 3.501
_cell_length_c 9.005
_cell_angle_alpha 90.00
_cell_angle_beta 90.00
_cell_angle_gamma 90.00
loop_
_atom_site_label
_atom_site_type_symbol
_atom_site_fract_x
_atom_site_fract_y
_atom_site_fract_z
_atom_site_occupancy
In1 In 0.000 0.000 0.519 1
Mg1 Mg 0.500 0.500 0.726 1
Y1 Y 0.000 0.000 0.983 1
Y2 Y 0.500 0.500 0.272 1
```